Density functional theory data (PBEsol) for CaNbO2 after structural relaxation.

Cell: 3.4885 3.4885 6.2442 Å, 73.78 73.78 60.00°
Fractional positions:
1 Nb 0.5000 0.5000 0.5000
2 Ca 0.0000 0.0000 0.0000
3 O 0.8757 0.8757 0.3730
4 O 0.1243 0.1243 0.6270

Values from the calculation:
- Energy above the most stable polymorph in this dataset: 28 meV/atom
- Crystal system: trigonal
- Formation energy from raw total energies: -7.3 eV per formula unit
- Space group: R-3m
- Size of the total moment: 0.82 μB per cell


Density functional theory data (PBEsol) for Sm3SbO7 after structural relaxation.

Cell: 6.5352 6.5352 7.5937 Å, 90.00 90.00 109.68°
Fractional positions:
1 Sm 0.5000 0.5000 0.5000
2 Sm 0.5000 0.5000 0.0000
3 Sm 0.5329 0.9995 0.7500
4 Sm 0.9995 0.5329 0.2500
5 Sm 0.4671 0.0005 0.2500
6 Sm 0.0005 0.4671 0.7500
7 Sb 0.0000 0.0000 0.5000
8 Sb 0.0000 0.0000 0.0000
9 O 0.6816 0.9283 0.4711
10 O 0.9283 0.6816 0.5289
11 O 0.6816 0.9283 0.0289
12 O 0.9283 0.6816 0.9711
13 O 0.3184 0.0717 0.5289
14 O 0.0717 0.3184 0.4711
15 O 0.3184 0.0717 0.9711
16 O 0.0717 0.3184 0.0289
17 O 0.9334 0.0666 0.7500
18 O 0.0666 0.9334 0.2500
19 O 0.3703 0.6297 0.7500
20 O 0.6297 0.3703 0.2500
21 O 0.6350 0.3650 0.7500
22 O 0.3650 0.6350 0.2500

Values from the calculation:
- Crystal system: orthorhombic
- Formation energy from raw total energies: -32.5 eV per formula unit
- Space group: Cmcm
- Size of the total moment: 0.00 μB per cell


Density functional theory data (PBEsol) for KSrAs2 after structural relaxation.

Cell: 3.7496 3.7496 9.8407 Å, 79.02 79.02 60.00°
Fractional positions:
1 As 0.2542 0.2542 0.2375
2 As 0.7458 0.7458 0.7625
3 K 0.5000 0.5000 0.5000
4 Sr 0.0000 0.0000 0.0000

Values from the calculation:
- Energy above the most stable polymorph in this dataset: 448 meV/atom
- Crystal system: trigonal
- Space group: R-3m
- Size of the total moment: 0.00 μB per cell
- Energy relative to the elements: -5.69 kcal/mol of atoms


Density functional theory data (PBEsol) for Pr3BWO9 after structural relaxation.

Cell: 5.5323 8.7181 8.7181 Å, 120.00 90.00 90.00°
Fractional positions:
1 Pr 0.2959 0.3595 0.2744
2 Pr 0.7959 0.6405 0.7256
3 Pr 0.7959 0.0851 0.3595
4 Pr 0.2959 0.7256 0.0851
5 Pr 0.2959 0.9149 0.6405
6 Pr 0.7959 0.2744 0.9149
7 B 0.6397 0.0000 0.0000
8 B 0.1397 0.0000 0.0000
9 W 0.7542 0.6667 0.3333
10 W 0.2542 0.3333 0.6667
11 O 0.6478 0.1764 0.1299
12 O 0.1478 0.1299 0.9535
13 O 0.6478 0.9535 0.8236
14 O 0.9598 0.7257 0.5279
15 O 0.5288 0.5171 0.1393
16 O 0.9598 0.8022 0.2743
17 O 0.1478 0.8236 0.8701
18 O 0.4598 0.5279 0.8022
19 O 0.0288 0.3779 0.5171
20 O 0.9598 0.4721 0.1978
21 O 0.5288 0.8607 0.3779
22 O 0.0288 0.1393 0.6221
23 O 0.1478 0.0465 0.1764
24 O 0.5288 0.6221 0.4829
25 O 0.6478 0.8701 0.0465
26 O 0.4598 0.1978 0.7257
27 O 0.4598 0.2743 0.4721
28 O 0.0288 0.4829 0.8607

Values from the calculation:
- Crystal system: hexagonal
- Formation energy from raw total energies: -42.3 eV per formula unit
- Space group: P6_3
- Size of the total moment: 0.00 μB per cell


Density functional theory data (PBEsol) for HgSb2Se after structural relaxation.

Cell: 3.6416 4.7971 6.3724 Å, 101.23 106.60 90.00°
Fractional positions:
1 Hg 0.2869 0.8072 0.5738
2 Sb 0.0111 0.9387 0.0223
3 Sb 0.6977 0.2726 0.3953
4 Se 0.5043 0.4815 0.0086

Values from the calculation:
- Energy above the most stable polymorph in this dataset: 118 meV/atom
- Crystal system: monoclinic
- Formation energy from raw total energies: 0.3 eV per formula unit
- Space group: Cm
- Size of the total moment: 0.00 μB per cell


Density functional theory data (PBEsol) for SrTlCdP2 after structural relaxation.

Cell: 5.0007 5.0007 5.6643 Å, 90.00 90.00 90.00°
Fractional positions:
1 Sr 0.0000 0.0000 0.5000
2 Tl 0.5000 0.5000 0.5000
3 P 0.0000 0.5000 0.0000
4 P 0.5000 0.0000 0.0000
5 Cd 0.0000 0.0000 0.0000

Values from the calculation:
- Crystal system: tetragonal
- Space group: P4/mmm
- Size of the total moment: 0.00 μB per cell
- Energy relative to the elements: 10.28 kcal/mol of atoms


Density functional theory data (PBEsol) for Y2GeO5 after structural relaxation.

Cell: 3.6817 10.2265 10.9809 Å, 90.00 90.00 90.00°
Fractional positions:
1 Y 0.7500 0.8917 0.2202
2 Y 0.7500 0.8642 0.5555
3 Y 0.2500 0.6358 0.0555
4 Y 0.2500 0.6083 0.7202
5 Y 0.7500 0.3917 0.2798
6 Y 0.7500 0.3642 0.9445
7 Y 0.2500 0.1358 0.4445
8 Y 0.2500 0.1083 0.7798
9 Ge 0.7500 0.8233 0.8779
10 Ge 0.2500 0.6767 0.3779
11 Ge 0.7500 0.3233 0.6221
12 Ge 0.2500 0.1767 0.1221
13 O 0.2500 0.9916 0.6045
14 O 0.7500 0.9901 0.8434
15 O 0.7500 0.7763 0.0370
16 O 0.2500 0.7671 0.8802
17 O 0.2500 0.7598 0.2301
18 O 0.7500 0.7402 0.7301
19 O 0.7500 0.7329 0.3802
20 O 0.2500 0.7237 0.5370
21 O 0.2500 0.5099 0.3434
22 O 0.7500 0.5084 0.1045
23 O 0.2500 0.4916 0.8955
24 O 0.7500 0.4901 0.6566
25 O 0.7500 0.2763 0.4630
26 O 0.2500 0.2671 0.6198
27 O 0.2500 0.2598 0.2699
28 O 0.7500 0.2402 0.7699
29 O 0.7500 0.2329 0.1198
30 O 0.2500 0.2237 0.9630
31 O 0.2500 0.0099 0.1566
32 O 0.7500 0.0084 0.3955

Values from the calculation:
- Energy above the most stable polymorph in this dataset: 0 meV/atom
- Crystal system: orthorhombic
- Formation energy from raw total energies: -23.8 eV per formula unit
- Space group: Pnma
- Size of the total moment: 0.00 μB per cell


Density functional theory data (PBEsol) for CaRuW2 after structural relaxation.

Cell: 2.7560 4.5629 5.3374 Å, 90.00 90.00 90.00°
Fractional positions:
1 Ca 0.5000 0.5000 0.0000
2 Ru 0.5000 0.5000 0.5000
3 W 0.0000 0.0000 0.7386
4 W 0.0000 0.0000 0.2614

Values from the calculation:
- Energy above the most stable polymorph in this dataset: 341 meV/atom
- Crystal system: orthorhombic
- Space group: Pmmm
- Size of the total moment: 0.00 μB per cell
- Energy relative to the elements: 19.30 kcal/mol of atoms